(1)
P2OsPbO | GGA-PBE | relaxed

Cell lengths 5.0398, 5.0398, 3.6989 Å; angles 90.00, 90.00, 90.00 degrees
Element x y z (fractional)
Os  0.0000  0.0000  0.0000
P  0.5000  0.0000  0.0000
Pb  0.5000  0.5000  0.5000
O  0.0000  0.0000  0.5000
P  0.0000  0.5000  0.0000

Results
The calculation puts the formation energy without anion corrections at 0.32 eV/f.u. As for the total energy: -6.079 eV/atom. Its energy relative to the lowest polymorph listed for this composition is 0.000 eV/atom. The space-group type is No. 123.

---

(2)
AgIrOs2 | GGA-PBE | relaxed

Cell lengths 2.7262, 2.7262, 9.5911 Å; angles 90.00, 90.00, 119.31 degrees
Last column: magnetic moment on the atom in μB.
Element x y z (fractional)
Ag  0.0000  0.0000  0.5009  0.00
Os  0.5000  0.5000  0.2357  0.32
Os  0.0000  0.0000  0.0018  0.47
Ir  0.5000  0.5000  0.7616  0.16

Results
As for the total energy: -7.960 eV/atom. The value obtained for the formation energy is 0.58 eV per atom. Its energy relative to the lowest polymorph listed for this composition is 0.307 eV/atom. The space-group type is No. 35.

---

(3)
TmFeS | GGA-PBE | relaxed

Cell lengths 3.8178, 3.8178, 10.9867 Å; angles 79.99, 79.99, 60.00 degrees
Last column: magnetic moment on the atom in μB.
Element x y z (fractional)
Fe  0.1677  0.1677  0.4969  0.59
S  0.2773  0.2773  0.1682  0.02
S  0.7227  0.7227  0.8318  0.02
Fe  0.8323  0.8323  0.5031  0.59
Tm  0.4305  0.4305  0.7085  -0.04
Tm  0.5695  0.5695  0.2915  -0.04

Results
The calculation puts the formation energy without anion corrections at -2.28 eV/f.u. As for the total energy: -6.446 eV/atom. The space-group type is No. 166.

---

(4)
LaTb4Ho8 | GGA-PBE | relaxed

Cell lengths 7.3000, 7.3001, 9.9314 Å; angles 90.00, 111.56, 120.00 degrees
Element x y z (fractional)
Ho  0.4997  0.7498  0.6937
Ho  0.9439  0.1941  0.6937
Ho  0.9439  0.7498  0.6937
La  0.0000  0.5000  0.5000
Ho  0.5618  0.7809  0.3426
Ho  0.4382  0.2191  0.6574
Ho  0.5003  0.2502  0.3063
Tb  0.0000  0.0000  0.0000
Tb  0.0000  0.5000  0.0000
Ho  0.0561  0.8059  0.3063
Ho  0.0561  0.2502  0.3063
Tb  0.5000  0.0000  0.0000
Tb  0.5000  0.5000  0.0000

Results
As for the total energy: -4.433 eV/atom. The value obtained for the formation energy is 0.19 eV per atom. The space-group type is No. 166.

---

(5)
Nd2TmGe | GGA-PBE | relaxed

Cell lengths 4.7934, 4.7389, 4.7389 Å; angles 90.00, 90.00, 90.00 degrees
Element x y z (fractional)
Ge  0.5000  0.0000  0.0000
Nd  0.0000  0.0000  0.5000
Tm  0.5000  0.5000  0.5000
Nd  0.0000  0.5000  0.0000

Results
As for the total energy: -4.977 eV/atom. The value obtained for the formation energy is -0.32 eV per atom. Its energy relative to the lowest polymorph listed for this composition is 0.000 eV/atom. The space-group type is No. 123.

---

(6)
Pm3DyCd6 | GGA-PBE | relaxed

Cell lengths 5.2025, 9.3774, 11.1667 Å; angles 104.98, 90.00, 90.00 degrees
Last column: magnetic moment on the atom in μB.
Element x y z (fractional)
Pm  0.7500  0.4738  0.6078  0.11
Cd  0.7500  0.9508  0.1071  0.00
Pm  0.7500  0.6514  0.2165  0.07
Pm  0.7500  0.2375  0.9971  0.01
Cd  0.7500  0.7679  0.5137  0.00
Dy  0.2500  0.9460  0.6045  0.01
Cd  0.2500  0.1462  0.1881  0.00
Cd  0.2500  0.4499  0.0896  0.00
Cd  0.2500  0.2321  0.4863  0.00
Pm  0.2500  0.5262  0.3922  0.11
Cd  0.7500  0.1379  0.6926  0.00
Cd  0.7500  0.3319  0.2928  0.00
Dy  0.7500  0.0540  0.3955  0.01
Cd  0.7500  0.8538  0.8119  0.00
Cd  0.2500  0.6681  0.7072  0.00
Cd  0.7500  0.5501  0.9104  0.00
Pm  0.2500  0.7625  0.0029  0.01
Cd  0.2500  0.0492  0.8929  0.00
Pm  0.2500  0.3486  0.7835  0.07
Cd  0.2500  0.8621  0.3074  0.00

Results
As for the total energy: -2.729 eV/atom. The value obtained for the formation energy is -0.29 eV per atom. The space-group type is No. 11.

---

(7)
Ho5Lu3Te12 | GGA-PBE | relaxed

Cell lengths 15.5633, 15.5633, 15.5633 Å; angles 109.47, 109.47, 109.47 degrees
Element x y z (fractional)
Te  0.0978  0.1746  0.2264
Te  0.5518  0.3254  0.9232
Te  0.4482  0.6746  0.0768
Te  0.0518  0.4232  0.8254
Te  0.6286  0.0518  0.2264
Te  0.4022  0.2736  0.3254
Te  0.7264  0.1286  0.0518
Lu  0.7500  0.8750  0.6250
Ho  0.6250  0.8750  0.2500
Te  0.0518  0.6286  0.7264
Te  0.8254  0.9232  0.0518
Ho  0.2500  0.8750  0.1250
Ho  0.0000  0.0000  0.0000
Ho  0.5000  0.5000  0.5000
Lu  0.2500  0.1250  0.3750
Ho  0.8750  0.6250  0.7500
Ho  0.0000  0.5000  0.0000
Ho  0.3750  0.2500  0.1250
Te  0.0768  0.9022  0.1286
Te  0.9232  0.8254  0.5518
Ho  0.2500  0.3750  0.6250
Te  0.9022  0.8254  0.7736
Lu  0.6250  0.2500  0.3750
Te  0.9482  0.3714  0.2736
Te  0.5978  0.8714  0.4232
Te  0.5768  0.9482  0.6746
Te  0.9482  0.5768  0.1746
Te  0.8254  0.9022  0.2736
Te  0.4232  0.0518  0.3254
Te  0.4022  0.1286  0.5768
Te  0.6286  0.5768  0.9022
Te  0.7736  0.3254  0.9022
Te  0.6746  0.2264  0.5978
Te  0.1746  0.0978  0.7264
Ho  0.0000  0.0000  0.5000
Ho  0.6250  0.7500  0.8750
Te  0.5978  0.7264  0.6746
Ho  0.8750  0.2500  0.6250
Te  0.8714  0.5978  0.9232
Te  0.6746  0.4482  0.5768
Lu  0.7500  0.3750  0.1250
Te  0.3714  0.4232  0.0978
Te  0.5518  0.2264  0.1286
Lu  0.2500  0.6250  0.8750
Te  0.4232  0.3714  0.5978
Ho  0.3750  0.1250  0.7500
Lu  0.6250  0.3750  0.7500
Ho  0.7500  0.1250  0.8750
Ho  0.5000  0.0000  0.0000
Lu  0.3750  0.7500  0.6250
Te  0.2736  0.8714  0.9482
Ho  0.7500  0.6250  0.3750
Te  0.8714  0.2736  0.4482
Lu  0.8750  0.1250  0.2500
Te  0.1286  0.4022  0.0768
Te  0.7736  0.4482  0.3714
Te  0.2736  0.4022  0.8254
Lu  0.8750  0.7500  0.1250
Ho  0.1250  0.3750  0.2500
Te  0.0768  0.1746  0.4482
Te  0.3714  0.9482  0.7736
Ho  0.5000  0.5000  0.0000
Te  0.1746  0.0768  0.9482
Ho  0.0000  0.5000  0.5000
Te  0.2264  0.5518  0.6286
Lu  0.1250  0.2500  0.8750
Ho  0.5000  0.0000  0.5000
Te  0.3254  0.7736  0.4022
Lu  0.3750  0.6250  0.2500
Te  0.7264  0.5978  0.1746
Te  0.4482  0.7736  0.8714
Te  0.9232  0.0978  0.8714
Te  0.5768  0.6286  0.4022
Te  0.3254  0.5518  0.4232
Te  0.9022  0.0768  0.6286
Lu  0.1250  0.8750  0.7500
Te  0.2264  0.6746  0.0978
Te  0.0978  0.9232  0.3714
Te  0.1286  0.7264  0.5518
Ho  0.1250  0.7500  0.3750

Results
The calculation puts the formation energy without anion corrections at -21.25 eV/f.u. As for the total energy: -4.770 eV/atom. The space-group type is No. 230.

---

(8)
As2Cl3F5 | GGA-PBE | relaxed

Cell lengths 8.1204, 8.9629, 8.9629 Å; angles 56.94, 63.06, 63.06 degrees
Last column: magnetic moment on the atom in μB.
Element x y z (fractional)
As  0.2786  0.2300  0.2128  0.00
F  0.7500  0.5000  0.5000  0.60
Cl  0.7500  0.0000  0.0000  0.49
As  0.7214  0.7700  0.7872  0.00
Cl  0.6157  0.4224  0.3462  0.25
F  0.4852  0.7648  0.7648  0.03
Cl  0.8843  0.6538  0.5776  0.25
F  0.6867  0.0047  0.6219  0.00
As  0.2214  0.7872  0.7700  0.00
Cl  0.3843  0.5776  0.6538  0.25
F  0.9852  0.7648  0.7648  0.03
F  0.0148  0.2352  0.2352  0.03
F  0.5148  0.2352  0.2352  0.03
F  0.1867  0.6219  0.0047  0.00
Cl  0.2500  0.0000  0.0000  0.49
F  0.8133  0.3781  0.9953  0.00
F  0.2500  0.5000  0.5000  0.60
Cl  0.1157  0.3462  0.4224  0.25
As  0.7786  0.2128  0.2300  0.00
F  0.3133  0.9953  0.3781  0.00

Results
The calculation puts the formation energy without anion corrections at -10.90 eV/f.u. As for the total energy: -3.510 eV/atom. The space-group type is No. 72.

---

(9)
LaTeP2 | GGA-PBE | relaxed

Cell lengths 5.4352, 5.4352, 5.4352 Å; angles 136.27, 120.51, 76.68 degrees
Element x y z (fractional)
P  0.4644  0.4644  0.0000
La  0.7500  0.2500  0.5000
Te  0.2500  0.7500  0.5000
P  0.0356  0.0356  0.0000

Results
The calculation puts the formation energy without anion corrections at -1.80 eV/f.u. As for the total energy: -5.173 eV/atom. The space-group type is No. 71.

---

(10)
Ti4AlCu3O12 | GGA-PBE | relaxed

Cell lengths 6.4214, 6.4214, 6.4214 Å; angles 109.47, 109.47, 109.47 degrees
Last column: magnetic moment on the atom in μB.
Element x y z (fractional)
O  0.7052  0.1734  0.8786  0.05
O  0.7052  0.8266  0.5317  0.05
O  0.8266  0.1214  0.2948  0.05
O  0.8786  0.7052  0.1734  0.05
Ti  0.0000  0.0000  0.5000  0.02
Ti  0.0000  0.5000  0.0000  0.02
O  0.5317  0.7052  0.8266  0.05
O  0.1214  0.2948  0.8266  0.05
O  0.1734  0.8786  0.7052  0.05
Ti  0.5000  0.5000  0.5000  0.02
O  0.8266  0.5317  0.7052  0.05
O  0.2948  0.8266  0.1214  0.05
O  0.1734  0.4683  0.2948  0.05
Al  0.0000  0.0000  0.0000  -0.01
Cu  0.5000  0.0000  0.5000  0.42
O  0.2948  0.1734  0.4683  0.05
Cu  0.5000  0.5000  0.0000  0.42
O  0.4683  0.2948  0.1734  0.05
Ti  0.5000  0.0000  0.0000  0.02
Cu  0.0000  0.5000  0.5000  0.42

Results
The calculation puts the formation energy without anion corrections at -40.92 eV/f.u. As for the total energy: -7.401 eV/atom. The space-group type is No. 204.

---

(11)
PuGa3Pt5 | GGA-PBE | relaxed

Cell lengths 3.8970, 6.9036, 13.0550 Å; angles 90.00, 90.00, 106.39 degrees
Last column: magnetic moment on the atom in μB.
Element x y z (fractional)
Pt  0.8012  0.6023  0.4264  -0.01
Ga  0.8709  0.7417  0.2500  -0.01
Pt  0.5389  0.0777  0.6481  -0.06
Ga  0.1291  0.2583  0.7500  -0.01
Ga  0.6225  0.2450  0.4616  0.00
Ga  0.3775  0.7550  0.5384  0.00
Pt  0.8012  0.6023  0.0736  -0.01
Pt  0.4611  0.9223  0.1481  -0.06
Pu  0.8798  0.7597  0.7500  5.29
Ga  0.3775  0.7550  0.9616  0.00
Pt  0.5389  0.0777  0.8519  -0.06
Pu  0.1202  0.2403  0.2500  5.29
Pt  0.0000  0.0000  0.0000  -0.03
Pt  0.4611  0.9223  0.3519  -0.06
Pt  0.1988  0.3977  0.5736  -0.01
Ga  0.6225  0.2450  0.0384  0.00
Pt  0.1988  0.3977  0.9264  -0.01
Pt  0.0000  0.0000  0.5000  -0.03

Results
As for the total energy: -6.536 eV/atom. The value obtained for the formation energy is -0.58 eV per atom. The space-group type is No. 63.

---

(12)
Na2Sn3Te8 | GGA-PBE | relaxed

Cell lengths 7.8082, 7.3186, 9.1808 Å; angles 113.49, 105.66, 90.00 degrees
Element x y z (fractional)
Te  0.9326  0.6253  0.2506
Sn  0.0000  0.2567  0.0000
Te  0.0674  0.3747  0.7494
Te  0.9016  0.1141  0.2281
Na  0.6915  0.7577  0.5153
Sn  0.5000  0.0000  0.0000
Te  0.6100  0.1780  0.7881
Sn  0.0000  0.7433  0.0000
Te  0.3900  0.8220  0.2119
Te  0.6100  0.6101  0.7881
Te  0.0984  0.8859  0.7719
Te  0.3900  0.3899  0.2119
Na  0.3085  0.2423  0.4847

Results
The calculation puts the formation energy without anion corrections at -2.41 eV/f.u. As for the total energy: -3.245 eV/atom. The space-group type is No. 12.